# 1
The following is a DFT calculation (meta-GGA SCAN) of a PBEsol-optimized structure of Co5Os.

Calculated values
- polymorph energy (0 for the lowest one) (eV/atom) = 0.000
- M_tot (μB/atom) = 1.34
- SG = Amm2, No. 38
- energy of formation (meV per atom) = 157
- ρ (g cm⁻³) = 12.29

Structure (POSCAR):
```
Co5Os
1.0
3.999 0.000 0.000
0.000 1.264 6.481
0.000 -1.264 6.481
Co Os
5 1
direct
0.000 0.000 0.000
0.000 0.326 0.326
0.000 0.663 0.663
0.500 0.112 0.112
0.500 0.772 0.772
0.500 0.441 0.441
```


# 2
The following is a DFT calculation (meta-GGA SCAN) of a PBEsol-optimized structure of CoOs4.

Calculated values
- M_tot (μB/atom) = 0.00
- SG = I4/m, No. 87
- energy of formation (meV per atom) = 202
- ρ (g cm⁻³) = 20.51

Structure (POSCAR):
```
CoOs4
1.0
-2.972 2.972 1.879
2.972 -2.972 1.879
2.972 2.972 -1.879
Co Os
1 4
direct
0.000 0.000 0.000
0.205 0.406 0.610
0.406 0.795 0.201
0.594 0.205 0.799
0.795 0.594 0.390
```


# 3
The following is a DFT calculation (meta-GGA SCAN) of a PBEsol-optimized structure of Co2Os.

Calculated values
- polymorph energy (0 for the lowest one) (eV/atom) = 0.000
- M_tot (μB/atom) = 0.51
- SG = Cmcm, No. 63
- energy of formation (meV per atom) = 235
- ρ (g cm⁻³) = 15.08

Structure (POSCAR):
```
Co2Os
1.0
1.281 -6.590 0.000
1.281 6.590 0.000
0.000 0.000 4.018
Co Os
4 2
direct
0.053 0.947 0.750
0.278 0.722 0.250
0.722 0.278 0.750
0.947 0.053 0.250
0.386 0.614 0.750
0.614 0.386 0.250
```


# 4
The following is a DFT calculation (meta-GGA SCAN) of a PBEsol-optimized structure of CoP2Os.

Calculated values
- polymorph energy (0 for the lowest one) (eV/atom) = 0.151
- M_tot (μB/atom) = 0.52
- SG = Fm-3m, No. 225
- energy of formation (meV per atom) = 41
- ρ (g cm⁻³) = 10.76

Structure (POSCAR):
```
CoP2Os
1.0
0.000 2.885 2.885
2.885 0.000 2.885
2.885 2.885 0.000
Co P Os
1 2 1
direct
0.000 0.000 0.000
0.250 0.250 0.250
0.750 0.750 0.750
0.500 0.500 0.500
```


# 5
The following is a DFT calculation (meta-GGA SCAN) of a PBEsol-optimized structure of CoP2Os.

Calculated values
- polymorph energy (0 for the lowest one) (eV/atom) = 0.489
- M_tot (μB/atom) = 0.24
- SG = I-4m2, No. 119
- energy of formation (meV per atom) = 379
- ρ (g cm⁻³) = 10.68

Structure (POSCAR):
```
CoP2Os
1.0
-1.713 1.713 4.119
1.713 -1.713 4.119
1.713 1.713 -4.119
Co P Os
1 2 1
direct
0.000 0.000 0.000
0.250 0.750 0.500
0.500 0.500 0.000
0.750 0.250 0.500
```


# 6
The following is a DFT calculation (meta-GGA SCAN) of a PBEsol-optimized structure of CoP2Os.

Calculated values
- polymorph energy (0 for the lowest one) (eV/atom) = 0.561
- M_tot (μB/atom) = 0.00
- SG = Cmmm, No. 65
- energy of formation (meV per atom) = 451
- ρ (g cm⁻³) = 10.18

Structure (POSCAR):
```
CoP2Os
1.0
1.392 -2.467 0.000
1.392 2.467 0.000
0.000 0.000 7.393
Co P Os
1 2 1
direct
0.000 0.000 0.000
0.500 0.500 0.236
0.500 0.500 0.764
0.000 0.000 0.500
```


# 7
The following is a DFT calculation (meta-GGA SCAN) of a PBEsol-optimized structure of CoP3Os.

Calculated values
- polymorph energy (0 for the lowest one) (eV/atom) = 0.000
- M_tot (μB/atom) = 0.00
- SG = Pm-3m, No. 221
- energy of formation (meV per atom) = 1117
- ρ (g cm⁻³) = 7.81

Structure (POSCAR):
```
CoP3Os
1.0
4.175 0.000 0.000
0.000 4.175 0.000
0.000 0.000 4.175
Co P Os
1 3 1
direct
0.000 0.000 0.000
0.000 0.000 0.500
0.000 0.500 0.000
0.500 0.000 0.000
0.500 0.500 0.500
```


# 8
The following is a DFT calculation (meta-GGA SCAN) of a PBEsol-optimized structure of CoP2Os.

Calculated values
- polymorph energy (0 for the lowest one) (eV/atom) = 0.298
- M_tot (μB/atom) = 0.40
- SG = P4/mmm, No. 123
- energy of formation (meV per atom) = 188
- ρ (g cm⁻³) = 10.93

Structure (POSCAR):
```
CoP2Os
1.0
3.999 0.000 0.000
0.000 3.999 0.000
0.000 0.000 2.957
Co P Os
1 2 1
direct
0.000 0.000 0.000
0.000 0.500 0.500
0.500 0.000 0.500
0.500 0.500 0.000
```